Compound: Ti2MnRu
Source: Alexandria
Functional: PBE
Structure: relaxed

Geometry as extended XYZ:
```
8
Lattice="-3.374 3.374 2.729 3.374 -3.374 2.729 3.374 3.374 -2.729" Properties=species:S:1:pos:R:3 pbc="T T T"
Ti 1.687 1.640 -0.682
Ti 1.734 -1.687 3.411
Ti 1.687 1.734 2.046
Ti 1.640 5.061 0.682
Mn 3.374 0.000 1.364
Mn 0.000 0.000 2.729
Ru 0.000 0.000 0.000
Ru 0.000 3.374 1.364
```

ΔH_f (0 K), eV per atom: 0.14
Total energy, eV per atom: -8.419
Excess energy over the best structure of this formula in the dataset, kcal/mol of atoms: 15.26